(1)
! CuSbSe PBE-GGA optimized geometry; values from VASP
&SYSTEM
  ibrav = 0, nat = 6, ntyp = 3
/
ATOMIC_SPECIES
Cu 63.55 Cu.upf
Se 78.96 Se.upf
Sb 121.76 Sb.upf
CELL_PARAMETERS angstrom
3.8517 -0.0064 0.0833
0.0006 4.7187 0.3106
-0.1575 -0.9848 7.2091
ATOMIC_POSITIONS crystal
Cu 0.7500 0.5020 0.7639
Cu 0.2500 0.4980 0.2361
Se 0.2500 0.2435 0.8719
Se 0.7500 0.7565 0.1281
Sb 0.7501 0.2023 0.3828
Sb 0.2499 0.7977 0.6172
! Formation energy (no corrections), eV/f.u.: -0.149
! Space group: P2_1/m
! DOS at the Fermi energy, states/eV/f.u.: 1.3
! Theoretical density, Mg/m³: 6.6

=====

(2)
! Hf5Bi2P PBE-GGA optimized geometry; values from VASP
&SYSTEM
  ibrav = 0, nat = 16, ntyp = 3
/
ATOMIC_SPECIES
Hf 178.49 Hf.upf
Bi 208.98 Bi.upf
P 30.97 P.upf
CELL_PARAMETERS angstrom
4.8561 0.0000 0.0000
-2.4281 7.3221 0.0000
0.0000 0.0000 12.1274
ATOMIC_POSITIONS crystal
Hf 0.3076 0.6153 0.4611
Hf 0.1152 0.2305 0.1280
Hf 0.3076 0.6153 0.0389
Hf 0.8848 0.7695 0.8720
Hf 0.1152 0.2305 0.3720
Hf 0.6924 0.3847 0.5389
Hf 0.6924 0.3847 0.9611
Hf 0.7214 0.4427 0.2500
Hf 0.2786 0.5573 0.7500
Hf 0.8848 0.7695 0.6280
Bi 0.9092 0.8185 0.1191
Bi 0.9092 0.8185 0.3809
Bi 0.0908 0.1815 0.8809
Bi 0.0908 0.1815 0.6191
P 0.7369 0.4738 0.7500
P 0.2631 0.5262 0.2500
! Space group: Cmcm
! E_form, meV/atom: -15
! DOS at the Fermi energy, states/eV/f.u.: 5.3
! Theoretical density, Mg/m³: 10.3

=====

(3)
! CaGeTe3 PBE-GGA optimized geometry; values from VASP
&SYSTEM
  ibrav = 0, nat = 5, ntyp = 3
/
ATOMIC_SPECIES
Ca 40.08 Ca.upf
Te 127.60 Te.upf
Ge 72.64 Ge.upf
CELL_PARAMETERS angstrom
5.4645 0.0000 0.0000
0.0000 5.4645 0.0000
0.0000 0.0000 5.4645
ATOMIC_POSITIONS crystal
Ca 0.5000 0.5000 0.5000
Te 0.0000 0.5000 0.0000
Te 0.0000 0.0000 0.5000
Te 0.5000 0.0000 0.0000
Ge 0.0000 0.0000 0.0000
! Formation energy (no corrections), eV/f.u.: -1.253
! Space group: Pm-3m
! DOS at the Fermi energy, states/eV/f.u.: 3.2
! Theoretical density, Mg/m³: 5.0
! Energy above the lowest structure with this stoichiometry, eV per atom: 0.000

=====

(4)
! Mn2RePdN PBE-GGA optimized geometry; values from VASP
&SYSTEM
  ibrav = 0, nat = 5, ntyp = 4
/
ATOMIC_SPECIES
Mn 54.94 Mn.upf
Pd 106.42 Pd.upf
N 14.01 N.upf
Re 186.21 Re.upf
CELL_PARAMETERS angstrom
-0.3162 -3.6785 -1.0732
3.0240 0.4218 -2.3368
2.4317 -1.0708 2.9536
ATOMIC_POSITIONS crystal
Mn 0.0000 0.5000 0.0000
Mn 0.5000 0.0000 0.0000
Pd 0.5000 0.5000 0.5000
N 0.0000 0.0000 0.0000
Re 0.0000 0.0000 0.5000
! Formation energy (no corrections), eV/f.u.: 0.192
! Space group: P4/mmm
! DOS at the Fermi energy, states/eV/f.u.: 5.7
! Theoretical density, Mg/m³: 11.8

=====

(5)
! La2MgAg PBE-GGA optimized geometry; values from VASP
&SYSTEM
  ibrav = 0, nat = 4, ntyp = 3
/
ATOMIC_SPECIES
Mg 24.30 Mg.upf
Ag 107.87 Ag.upf
La 138.91 La.upf
CELL_PARAMETERS angstrom
-2.3170 2.0240 4.3477
-5.3107 0.2588 0.3117
-2.6301 -3.1984 3.3498
ATOMIC_POSITIONS crystal
Mg 0.2500 0.2500 0.2500
Ag 0.5000 0.5000 0.5000
La 0.7500 0.7500 0.7500
La 0.0000 0.0000 0.0000
! Space group: F-43m
! E_form, meV/atom: -7
! DOS at the Fermi energy, states/eV/f.u.: 5.1
! Theoretical density, Mg/m³: 6.4

=====

(6)
! Ac2Sn3Rh2 PBE-GGA optimized geometry; values from VASP
&SYSTEM
  ibrav = 0, nat = 14, ntyp = 3
/
ATOMIC_SPECIES
Rh 102.91 Rh.upf
Sn 118.71 Sn.upf
Ac 227.00 Ac.upf
CELL_PARAMETERS angstrom
-0.5204 1.7699 -4.3021
5.8022 -4.2288 -2.4416
-6.2333 -8.4508 -0.1762
ATOMIC_POSITIONS crystal
Rh 0.2996 0.4568 0.5992
Rh 0.2996 0.0432 0.5992
Rh 0.7004 0.5432 0.4008
Rh 0.7004 0.9568 0.4008
Sn 0.5693 0.4415 0.1386
Sn 0.7867 0.2500 0.5733
Sn 0.4307 0.9415 0.8614
Sn 0.5693 0.0585 0.1386
Sn 0.4307 0.5585 0.8614
Sn 0.2133 0.7500 0.4267
Ac 0.0487 0.7500 0.0974
Ac 0.8311 0.7500 0.6622
Ac 0.9513 0.2500 0.9026
Ac 0.1689 0.2500 0.3378
! Space group: Cmcm
! E_form, meV/atom: -645
! DOS at the Fermi energy, states/eV/f.u.: 5.0
! Theoretical density, Mg/m³: 9.3
! Energy above the lowest structure with this stoichiometry, eV per atom: 0.035

=====

(7)
! Y2Ho6Ag PBE-GGA optimized geometry; values from VASP
&SYSTEM
  ibrav = 0, nat = 9, ntyp = 3
/
ATOMIC_SPECIES
Ho 164.93 Ho.upf
Y 88.91 Y.upf
Ag 107.87 Ag.upf
CELL_PARAMETERS angstrom
3.5436 0.0000 -0.0500
0.0000 10.1717 0.0000
-1.6664 -5.0859 7.5630
ATOMIC_POSITIONS crystal
Ho 0.1821 0.0246 0.3646
Ho 0.5000 0.2635 0.0000
Ho 0.1821 0.3400 0.3646
Ho 0.8179 0.9754 0.6354
Ho 0.8179 0.6600 0.6354
Ho 0.5000 0.7365 0.0000
Y 0.8630 0.3641 0.7283
Y 0.1370 0.6359 0.2717
Ag 0.0000 0.0000 0.0000
! Space group: Immm
! E_form, meV/atom: 50
! DOS at the Fermi energy, states/eV/f.u.: 9.5
! Theoretical density, Mg/m³: 7.8

=====

(8)
! PrZnGa2Au2 PBE-GGA optimized geometry; values from VASP
&SYSTEM
  ibrav = 0, nat = 6, ntyp = 4
/
ATOMIC_SPECIES
Ga 69.72 Ga.upf
Zn 65.41 Zn.upf
Pr 140.91 Pr.upf
Au 196.97 Au.upf
CELL_PARAMETERS angstrom
-2.2057 -3.8355 0.3799
3.3124 0.9436 2.8032
-4.5958 3.0782 4.3945
ATOMIC_POSITIONS crystal
Ga 0.3333 0.6667 0.7272
Ga 0.6667 0.3333 0.2728
Zn 0.0000 0.0000 0.5000
Pr 0.0000 0.0000 0.0000
Au 0.3333 0.6667 0.3141
Au 0.6667 0.3333 0.6859
! Space group: P-3m1
! E_form, meV/atom: -507
! DOS at the Fermi energy, states/eV/f.u.: 2.7
! Theoretical density, Mg/m³: 10.2

=====

(9)
! MnReNi2 PBE-GGA optimized geometry; values from VASP
&SYSTEM
  ibrav = 0, nat = 4, ntyp = 3
/
ATOMIC_SPECIES
Mn 54.94 Mn.upf
Ni 58.69 Ni.upf
Re 186.21 Re.upf
CELL_PARAMETERS angstrom
5.7016 -0.0021 -0.0071
-2.2663 3.9153 0.0279
1.1691 0.6676 2.2110
ATOMIC_POSITIONS crystal
Mn 0.5000 0.5000 0.0000
Ni 0.0000 0.0000 0.0000
Ni 0.5000 0.0000 0.5000
Re 0.0000 0.5000 0.5000
! Space group: C2/m
! E_form, meV/atom: 33
! DOS at the Fermi energy, states/eV/f.u.: 4.1
! Theoretical density, Mg/m³: 12.1
! Energy above the lowest structure with this stoichiometry, eV per atom: 0.029

=====

(10)
! Nd2DyHg PBE-GGA optimized geometry; values from VASP
&SYSTEM
  ibrav = 0, nat = 4, ntyp = 3
/
ATOMIC_SPECIES
Dy 162.50 Dy.upf
Nd 144.24 Nd.upf
Hg 200.59 Hg.upf
CELL_PARAMETERS angstrom
3.6776 0.0000 0.0000
1.8388 3.1849 0.0000
1.8388 1.0616 10.8774
ATOMIC_POSITIONS crystal
Dy 0.5000 0.5000 0.5000
Nd 0.2559 0.2559 0.2323
Nd 0.7441 0.7441 0.7677
Hg 0.0000 0.0000 0.0000
! Space group: R-3m
! E_form, meV/atom: -134
! DOS at the Fermi energy, states/eV/f.u.: 4.2
! Theoretical density, Mg/m³: 8.5
! Energy above the lowest structure with this stoichiometry, eV per atom: 0.094

=====

(11)
! Sm6Te5N PBE-GGA optimized geometry; values from VASP
&SYSTEM
  ibrav = 0, nat = 12, ntyp = 3
/
ATOMIC_SPECIES
Te 127.60 Te.upf
Sm 150.36 Sm.upf
N 14.01 N.upf
CELL_PARAMETERS angstrom
7.3746 0.2213 0.0000
2.2779 7.2244 0.0000
1.1390 3.6122 6.4976
ATOMIC_POSITIONS crystal
Te 0.5000 0.8176 0.3648
Te 0.0000 0.3364 0.3271
Te 0.0000 0.6636 0.6729
Te 0.5000 0.5000 0.0000
Te 0.5000 0.1824 0.6352
Sm 0.2088 0.9322 0.7225
Sm 0.7912 0.0678 0.2775
Sm 0.7694 0.7964 0.0000
Sm 0.2088 0.6547 0.2775
Sm 0.7912 0.3453 0.7225
Sm 0.2306 0.2036 0.0000
N 0.0000 0.0000 0.0000
! Formation energy (no corrections), eV/f.u.: -16.234
! Space group: C2/m
! DOS at the Fermi energy, states/eV/f.u.: 7.7
! Theoretical density, Mg/m³: 7.5

=====

(12)
! Li2ZrIr2 PBE-GGA optimized geometry; values from VASP
&SYSTEM
  ibrav = 0, nat = 10, ntyp = 3
/
ATOMIC_SPECIES
Ir 192.22 Ir.upf
Li 6.94 Li.upf
Zr 91.22 Zr.upf
CELL_PARAMETERS angstrom
6.8121 0.0000 0.0000
0.0000 6.8121 0.0000
0.0000 0.0000 3.0591
ATOMIC_POSITIONS crystal
Ir 0.6919 0.8081 0.5000
Ir 0.3080 0.1920 0.5000
Ir 0.1920 0.6919 0.5000
Ir 0.8081 0.3080 0.5000
Li 0.8933 0.6067 0.0000
Li 0.6067 0.1067 0.0000
Li 0.1067 0.3933 0.0000
Li 0.3933 0.8933 0.0000
Zr 0.0000 0.0000 0.0000
Zr 0.5000 0.5000 0.0000
! Space group: P4/mbm
! E_form, meV/atom: -261
! DOS at the Fermi energy, states/eV/f.u.: 1.8
! Theoretical density, Mg/m³: 11.5
! Energy above the lowest structure with this stoichiometry, eV per atom: 0.000

=====

| no. | calculated total energy (eV per atom) |
| --- | --- |
| 1 | -3.951 |
| 2 | -7.883 |
| 3 | -3.459 |
| 4 | -8.823 |
| 5 | -3.582 |
| 6 | -5.635 |
| 7 | -4.755 |
| 8 | -3.617 |
| 9 | -8.262 |
| 10 | -3.744 |
| 11 | -5.715 |
| 12 | -6.281 |